Record 1
Material: CsDyCd2Br8
Method: DFT, PBE
State: optimized geometry

Cell and atoms, written as CIF:
```
data_CsDyCd2Br8
_space_group_name_H-M_alt 'P -1'
_space_group_IT_number 2
_cell_length_a 7.032
_cell_length_b 7.052
_cell_length_c 10.600
_cell_angle_alpha 84.80
_cell_angle_beta 84.18
_cell_angle_gamma 68.78
loop_
_space_group_symop_operation_xyz
'x,y,z'
'-x,-y,-z'
loop_
_atom_site_label
_atom_site_fract_x
_atom_site_fract_y
_atom_site_fract_z
Cs1 0.000 0.000 0.000
Dy1 0.000 0.000 0.500
Cd1 0.374 0.371 0.291
Br1 0.215 0.731 0.694
Br2 0.241 0.240 0.511
Br3 0.268 0.781 0.303
Br4 0.324 0.301 0.068
```

- Formation energy (no corrections): -1.335 eV/atom

Record 2
Material: NaYSnPt
Method: DFT, PBE
State: optimized geometry

Cell and atoms, written as CIF:
```
data_NaYSnPt
_space_group_name_H-M_alt 'F -4 3 m'
_space_group_IT_number 216
_space_group_name_Hall 'F -4 2 3'
_cell_length_a 6.902
_cell_length_b 6.902
_cell_length_c 6.902
_cell_angle_alpha 90.00
_cell_angle_beta 90.00
_cell_angle_gamma 90.00
loop_
_atom_site_label
_atom_site_fract_x
_atom_site_fract_y
_atom_site_fract_z
Na1 0.000 0.000 0.000
Y1 0.250 0.250 0.750
Sn1 0.250 0.250 0.250
Pt1 0.000 0.000 0.500
```

- Energy of formation from the pure elements: -2.77 eV/f.u.

Record 3
Material: SbW5
Method: DFT, PBE
State: optimized geometry

Cell and atoms, written as CIF:
```
data_SbW5
_space_group_name_H-M_alt 'P 4/m m m'
_space_group_IT_number 123
_space_group_name_Hall '-P 4 2'
_cell_length_a 3.222
_cell_length_b 3.222
_cell_length_c 9.775
_cell_angle_alpha 90.00
_cell_angle_beta 90.00
_cell_angle_gamma 90.00
loop_
_atom_site_label
_atom_site_fract_x
_atom_site_fract_y
_atom_site_fract_z
Sb1 0.000 0.000 0.000
W1 0.000 0.000 0.340
W2 0.500 0.500 0.182
W3 0.500 0.500 0.500
```

- Energy above the lowest structure with this stoichiometry: 14 meV per atom
- Formation energy (no corrections): 0.310 eV/atom

Record 4
Material: CoMo4N
Method: DFT, PBE
State: optimized geometry

Cell and atoms, written as CIF:
```
data_CoMo4N
_space_group_name_H-M_alt 'C 1 2/c 1'
_space_group_IT_number 15
_cell_length_a 6.869
_cell_length_b 11.449
_cell_length_c 5.340
_cell_angle_alpha 90.00
_cell_angle_beta 127.27
_cell_angle_gamma 90.00
loop_
_space_group_symop_operation_xyz
'x,y,z'
'-x,-y,-z'
'-x,y,-z+1/2'
'x,-y,z+1/2'
'x+1/2,y+1/2,z'
'-x+1/2,-y+1/2,-z'
'-x+1/2,y+1/2,-z+1/2'
'x+1/2,-y+1/2,z+1/2'
loop_
_atom_site_label
_atom_site_fract_x
_atom_site_fract_y
_atom_site_fract_z
Co1 0.000 0.140 0.250
Mo1 0.167 0.293 0.704
Mo2 0.240 0.044 0.763
N1 0.000 0.440 0.750
```

- Formation energy (no corrections): 0.165 eV/atom

In order of appearance, theoretical density = 4.0 8.6 17.0 9.1 g/cm³.